1 | ## LaGa3Te (PBE)

Data for a relaxed LaGa3Te crystal.

## Properties
N(E_F)   4.89 states/eV per cell
SG   Pm-3m (221)

Geometry as extended XYZ:
```
5
Lattice="5.382 0.000 0.000 0.000 5.382 0.000 0.000 0.000 5.382" Properties=species:S:1:pos:R:3 pbc="T T T"
Ga 0.000 0.000 2.691
La 2.691 2.691 2.691
Ga 2.691 0.000 0.000
Ga 0.000 2.691 0.000
Te 0.000 0.000 0.000
```

2 | ## LaGa3Te (PBE)

Data for a relaxed LaGa3Te crystal.

## Properties
N(E_F)   3.49 states/eV per cell
SG   Pm-3m (221)

Geometry as extended XYZ:
```
5
Lattice="5.753 0.000 0.000 0.000 5.753 0.000 0.000 0.000 5.753" Properties=species:S:1:pos:R:3 pbc="T T T"
Ga 2.877 0.000 0.000
Ga 0.000 0.000 2.877
La 0.000 0.000 0.000
Ga 0.000 2.877 0.000
Te 2.877 2.877 2.877
```

Which of them is least stable? Easy: 2.